No. 1
Below is a relaxed PdCSe2 crystal, with properties calculated at the PBE level.

Properties
ΔE_f (raw)	0.726	eV/atom

Structure (POSCAR):
```
PdCSe2
1.0
5.503 0.000 0.000
0.000 5.503 0.000
2.751 2.751 4.818
C Se Pd
2 4 2
Direct
0.500 0.500 0.000
0.250 0.750 0.500
0.565 0.125 0.250
0.185 0.625 0.250
0.375 0.435 0.750
0.875 0.815 0.750
0.000 0.000 0.000
0.750 0.250 0.500
```

No. 2
Below is a relaxed KSi2Hg2 crystal, with properties calculated at the PBE level.

Properties
energy above the most stable polymorph in this dataset	233.1	meV per atom
ΔE_f (raw)	0.324	eV/atom

Structure (POSCAR):
```
KSi2Hg2
1.0
-3.884 -6.632 3.002
7.075 -4.240 -0.214
0.743 1.071 3.328
K Si Hg
2 4 4
Direct
0.000 0.000 0.000
0.500 0.500 0.000
0.395 0.895 0.000
0.895 0.605 0.000
0.605 0.105 0.000
0.105 0.395 0.000
0.179 0.679 0.500
0.679 0.821 0.500
0.821 0.321 0.500
0.321 0.179 0.500
```

No. 3
Below is a relaxed CeTi2C2 crystal, with properties calculated at the PBE level.

Properties
energy of formation	-0.32	eV/atom

Structure (POSCAR):
```
CeTi2C2
1.0
5.696 0.346 0.129
-1.607 5.475 0.129
-1.940 -2.761 4.479
Ce Ti C
2 4 4
Direct
0.869 0.631 0.750
0.131 0.369 0.250
0.232 0.967 0.475
0.467 0.732 0.975
0.768 0.033 0.525
0.533 0.268 0.025
0.176 0.324 0.750
0.414 0.086 0.250
0.586 0.914 0.750
0.824 0.676 0.250
```